Material: PrBePt
Method: DFT, PBE-GGA
State: optimized geometry

Geometry as CIF:
```
data_PrBePt
_cell_length_a 4.0965
_cell_length_b 4.0965
_cell_length_c 4.1308
_cell_angle_alpha 90.00
_cell_angle_beta 90.00
_cell_angle_gamma 120.00
_symmetry_space_group_name_H-M 'P -6 m 2'
_symmetry_Int_Tables_number 187
_symmetry_space_group_name_Hall 'P -6 2'
loop_
_atom_site_label
_atom_site_fract_x
_atom_site_fract_y
_atom_site_fract_z
_atom_site_occupancy
Pr1 0.0000 0.0000 0.0000 1
Be1 0.3333 0.6667 0.5000 1
Pt1 0.6667 0.3333 0.5000 1
```

- Magnetic moment: 0.00 μB/atom
- Energy above the lowest structure with this stoichiometry: 3 meV per atom
- D(E_F): 1.9 states/eV/cell
- Energy of formation from the pure elements: -0.745 eV/atom